Record 1
The following is a PBE-GGA calculation of a relaxed structure of SmAsPbO, from the Open Quantum Materials Database.

Lattice parameters (Å, degrees): 4.895 4.895 7.187 90.00 90.00 90.00
Atoms (fractional coordinates):
1 Sm 0.250 0.750 0.000
2 Sm 0.750 0.250 0.000
3 As 0.250 0.250 0.194
4 As 0.750 0.750 0.806
5 Pb 0.250 0.250 0.586
6 Pb 0.750 0.750 0.414
7 O 0.250 0.750 0.500
8 O 0.750 0.250 0.500

Output
ρ   8.65 g/cm³
Crystal system   tetragonal
SG   No. 129
Uncorrected energy   -41.83 eV per cell

***

Record 2
The following is a PBE-GGA calculation of a relaxed structure of NaLuNb, from the Open Quantum Materials Database.

Lattice parameters (Å, degrees): 5.084 5.084 5.084 60.00 60.00 60.00
Atoms (fractional coordinates):
1 Na 0.000 0.000 0.000
2 Lu 0.250 0.250 0.250
3 Nb 0.500 0.500 0.500

Output
ρ   5.20 g/cm³
Crystal system   cubic
SG   No. 216
Uncorrected energy   -11.41 eV per cell

***

Record 3
The following is a PBE-GGA calculation of a relaxed structure of CdPdPt, from the Open Quantum Materials Database.

Lattice parameters (Å, degrees): 4.413 4.413 4.413 60.00 60.00 60.00
Atoms (fractional coordinates):
1 Cd 0.000 0.000 0.000
2 Pd 0.500 0.500 0.500
3 Pt 0.250 0.250 0.250

Output
ρ   11.31 g/cm³
Crystal system   cubic
SG   No. 216
Uncorrected energy   -12.04 eV per cell
ΔH_f (0 K)   0.0272 eV per atom

***

Record 4
The following is a PBE-GGA calculation of a relaxed structure of Co3Ni10, from the Open Quantum Materials Database.

Lattice parameters (Å, degrees): 8.459 8.459 8.459 31.38 31.38 31.38
Atoms (fractional coordinates):
1 Co 0.000 0.000 0.000
2 Co 0.164 0.164 0.164
3 Co 0.836 0.836 0.836
4 Ni 0.089 0.089 0.584
5 Ni 0.089 0.584 0.089
6 Ni 0.349 0.349 0.349
7 Ni 0.416 0.911 0.911
8 Ni 0.452 0.452 0.452
9 Ni 0.548 0.548 0.548
10 Ni 0.584 0.089 0.089
11 Ni 0.651 0.651 0.651
12 Ni 0.911 0.416 0.911
13 Ni 0.911 0.911 0.416

Output
ρ   8.71 g/cm³
Crystal system   trigonal
SG   No. 166
Uncorrected energy   -74.86 eV per cell
ΔH_f (0 K)   0.1642 eV per atom